[1]
Entry from the Alexandria database: an optimized crystal structure of GdTm2Cd (GGA-PBE).

Calculated values
Formation energy in meV/atom: -136.7
M_tot in μB/atom: 1.87
Mass density in Mg/m³: 8.88
Symmetry: P4/mmm

a b c (Å): 3.5470 3.5470 9.0299
angles (deg): 90.00 90.00 90.00
Closest atoms and distances in Å follow each position.
Sites, in units of the cell vectors:
1 Gd 0.0000 0.0000 0.0000  8 Tm 3.53, 4 Gd 3.55
2 Tm 0.5000 0.5000 0.2756  4 Cd 3.22, 4 Gd 3.53, 4 Tm 3.55
3 Tm 0.5000 0.5000 0.7244  4 Cd 3.22, 4 Gd 3.53, 4 Tm 3.55
4 Cd 0.0000 0.0000 0.5000  8 Tm 3.22, 4 Cd 3.55

---

[2]
Entry from the Alexandria database: an optimized crystal structure of Cs2Tl3In (GGA-PBE).

Calculated values
Formation energy in meV/atom: -84.3
M_tot in μB/atom: 0.00
Mass density in Mg/m³: 6.77
Symmetry: C2/c

a b c (Å): 9.2904 9.2904 7.9267
angles (deg): 102.30 102.30 47.14
Closest atoms and distances in Å follow each position.
Sites, in units of the cell vectors:
1 Cs 0.1840 0.1844 0.0924  6 Tl 3.94-4.03, 2 Cs 3.96, 2 In 4.07
2 Cs 0.1844 0.1840 0.5924  6 Tl 3.94-4.03, 2 Cs 3.96, 2 In 4.07
3 Cs 0.8156 0.8160 0.4076  6 Tl 3.94-4.03, 2 Cs 3.96, 2 In 4.07
4 Cs 0.8160 0.8156 0.9076  6 Tl 3.94-4.03, 2 Cs 3.96, 2 In 4.07
5 Tl 0.2203 0.7797 0.7500  4 Tl 3.35, 1 In 3.47
6 Tl 0.3963 0.3962 0.4485  2 In 3.23, 3 Tl 3.35-3.44
7 Tl 0.3962 0.3963 0.9485  2 In 3.23, 3 Tl 3.35-3.44
8 Tl 0.6038 0.6037 0.0515  2 In 3.23, 3 Tl 3.35-3.44
9 Tl 0.6037 0.6038 0.5515  2 In 3.23, 3 Tl 3.35-3.44
10 Tl 0.7797 0.2203 0.2500  4 Tl 3.35, 1 In 3.47
11 In 0.2461 0.7539 0.2500  5 Tl 3.23-3.47
12 In 0.7539 0.2461 0.7500  5 Tl 3.23-3.47

---

[3]
Entry from the Alexandria database: an optimized crystal structure of Ba2Cl2O (GGA-PBE).

Calculated values
Raw formation energy in eV/atom: -2.577
M_tot in μB/atom: 0.02
Mass density in Mg/m³: 3.96
Symmetry: Ibam

a b c (Å): 7.9368 7.9368 7.9368
angles (deg): 123.77 77.64 131.16
Closest atoms and distances in Å follow each position.
Sites, in units of the cell vectors:
1 Ba 0.0996 0.1988 0.2984  2 O 2.53
2 Ba 0.4004 0.6988 0.0993  2 O 2.53
3 Ba 0.5996 0.3012 0.9007  2 O 2.53
4 Ba 0.9004 0.8012 0.7016  2 O 2.53
5 Cl 0.1448 0.6359 0.7806  5 Ba 3.20-3.55
6 Cl 0.3552 0.1359 0.4911  5 Ba 3.20-3.55
7 Cl 0.6448 0.8641 0.5089  5 Ba 3.20-3.55
8 Cl 0.8552 0.3641 0.2194  5 Ba 3.20-3.55
9 O 0.2500 0.2500 0.0000  4 Ba 2.53
10 O 0.7500 0.7500 0.0000  4 Ba 2.53

---

Q: The highest M_tot belongs to which entry?
A: GdTm2Cd